one.
A plane-wave DFT calculation with PBE was carried out for crystalline NbV2NiN at its relaxed geometry.

Structure (POSCAR):
```
NbV2NiN
1.0
-4.3704 -0.5497 1.9547
0.3537 -3.8805 -0.3004
1.9832 -0.1590 4.3892
Nb Ni V N
1 1 2 1
direct
0.0000 0.0000 0.0000
0.5000 0.5000 0.5000
0.5000 0.0000 0.0000
0.0000 0.0000 0.5000
0.0000 0.5000 0.0000
```


two.
A plane-wave DFT calculation with PBE was carried out for crystalline NbV2NiN at its relaxed geometry.

Structure (POSCAR):
```
NbV2NiN
1.0
-0.8048 -0.3691 3.7542
3.7723 -0.0783 0.8010
-0.0005 4.2536 0.4181
V Nb Ni N
2 1 1 1
direct
0.5000 0.0000 0.0000
0.0000 0.5000 0.0000
0.0000 0.0000 0.5000
0.5000 0.5000 0.5000
0.0000 0.0000 0.0000
```


Most stable structure: two


one.
A plane-wave DFT calculation with PBE was carried out for crystalline NpNbN at its relaxed geometry.

Structure (POSCAR):
```
NpNbN
1.0
-2.1954 1.8733 -1.2601
-0.8300 -2.6276 1.4747
-0.7026 5.4876 9.3822
Np Nb N
2 2 2
direct
0.5673 0.1347 0.0000
0.4209 0.8417 0.5000
0.0863 0.1725 0.7582
0.0863 0.1725 0.2418
0.7530 0.5059 0.6454
0.7530 0.5059 0.3546
```


two.
A plane-wave DFT calculation with PBE was carried out for crystalline NpNbN at its relaxed geometry.

Structure (POSCAR):
```
NpNbN
1.0
2.9831 0.0000 0.0000
0.0000 2.9831 0.0000
-1.4916 -1.4916 5.9523
Nb Np N
1 1 1
direct
0.6084 0.6084 0.2168
0.3091 0.3091 0.6181
0.0826 0.0826 0.1651
```


three.
A plane-wave DFT calculation with PBE was carried out for crystalline NpNbN at its relaxed geometry.

Structure (POSCAR):
```
NpNbN
1.0
-1.5732 3.6490 3.9288
0.8798 -2.0208 2.2292
2.0512 2.0896 -1.1194
N Np Nb
1 1 1
direct
0.3562 0.3333 0.6667
0.0742 0.0000 0.0000
0.5695 0.6667 0.3333
```


Most stable structure: one


one.
A plane-wave DFT calculation with PBE was carried out for crystalline Nb2NO at its relaxed geometry.

Structure (POSCAR):
```
Nb2NO
1.0
2.9478 0.0000 0.0000
1.4739 2.5529 0.0000
1.4739 0.8510 5.9769
N Nb O
1 2 1
direct
0.6632 0.6632 0.0104
0.2532 0.2532 0.2403
0.0772 0.0772 0.7684
0.5064 0.5064 0.4809
```


two.
A plane-wave DFT calculation with PBE was carried out for crystalline Nb2NO at its relaxed geometry.

Structure (POSCAR):
```
Nb2NO
1.0
-2.4681 1.6712 -3.8567
-4.1477 -0.2434 2.5488
-2.6489 5.1367 0.8408
Nb N O
4 2 2
direct
0.3750 0.3859 0.7500
0.8750 0.8641 0.7500
0.6141 0.1250 0.2500
0.1359 0.6250 0.2500
0.5000 0.5000 0.0000
0.2500 0.7500 0.5000
0.7500 0.2500 0.5000
0.0000 0.0000 0.0000
```


Most stable structure: one


one.
A plane-wave DFT calculation with PBE was carried out for crystalline Nb2NO at its relaxed geometry.

Structure (POSCAR):
```
Nb2NO
1.0
0.0000 2.7926 2.7926
2.7926 0.0000 2.7926
2.7926 2.7926 0.0000
Nb N O
2 1 1
direct
0.2500 0.2500 0.2500
0.7500 0.7500 0.7500
0.0000 0.0000 0.0000
0.5000 0.5000 0.5000
```


two.
A plane-wave DFT calculation with PBE was carried out for crystalline Nb2NO at its relaxed geometry.

Structure (POSCAR):
```
Nb2NO
1.0
-0.4384 3.0097 0.1179
-1.0435 1.4829 -2.4447
-6.8947 0.4823 1.3406
N O Nb
1 1 2
direct
0.0000 0.0000 0.0000
0.5000 0.5000 0.5000
0.0916 0.0916 0.7252
0.9084 0.9084 0.2748
```


Most stable structure: one


one.
A plane-wave DFT calculation with PBE was carried out for crystalline NbNO at its relaxed geometry.

Structure (POSCAR):
```
NbNO
1.0
-1.4004 -1.0006 -2.8883
2.1031 -3.2922 0.1208
-4.5956 -0.9896 2.5710
N O Nb
2 2 2
direct
0.2500 0.7693 0.0563
0.7500 0.2307 0.9437
0.2500 0.7329 0.5710
0.7500 0.2671 0.4290
0.2500 0.3590 0.2128
0.7500 0.6410 0.7872
```


two.
A plane-wave DFT calculation with PBE was carried out for crystalline NbNO at its relaxed geometry.

Structure (POSCAR):
```
NbNO
1.0
3.5542 0.0000 0.0000
1.7771 3.0780 0.0000
1.7771 1.0260 2.9020
Nb O N
1 1 1
direct
0.2500 0.2500 0.2500
0.0000 0.0000 0.0000
0.5000 0.5000 0.5000
```


three.
A plane-wave DFT calculation with PBE was carried out for crystalline NbNO at its relaxed geometry.

Structure (POSCAR):
```
NbNO
1.0
6.7068 0.0005 -0.0129
5.5045 3.8316 -0.0129
1.8280 0.5736 6.5263
O Nb N
4 4 4
direct
0.0572 0.0572 0.6241
0.9428 0.9428 0.3759
0.8730 0.8730 0.0136
0.1270 0.1270 0.9864
0.7876 0.7876 0.2982
0.1010 0.1010 0.2817
0.2124 0.2124 0.7018
0.8990 0.8990 0.7183
0.2567 0.2567 0.3586
0.7433 0.7433 0.6414
0.6377 0.6377 0.2669
0.3623 0.3623 0.7331
```


Most stable structure: three


one.
A plane-wave DFT calculation with PBE was carried out for crystalline NbNO at its relaxed geometry.

Structure (POSCAR):
```
NbNO
1.0
5.9355 -0.0062 0.0000
3.2858 4.9430 0.0000
-4.6107 -2.4684 2.8069
N O Nb
2 2 2
direct
0.9526 0.4526 0.5000
0.2026 0.2026 0.0000
0.5297 0.0297 0.5000
0.7797 0.7797 0.0000
0.0176 0.0176 0.0000
0.7676 0.2676 0.5000
```


two.
A plane-wave DFT calculation with PBE was carried out for crystalline NbNO at its relaxed geometry.

Structure (POSCAR):
```
NbNO
1.0
5.0971 0.0000 0.0000
0.0000 5.0449 0.0004
0.0000 0.8996 5.1862
N O Nb
4 4 4
direct
0.7545 0.4435 0.5249
0.2545 0.5565 0.9751
0.2455 0.5565 0.4751
0.7455 0.4435 0.0249
0.6777 0.9385 0.3501
0.1777 0.0615 0.1499
0.8223 0.9385 0.8501
0.3223 0.0615 0.6499
0.5490 0.7063 0.7203
0.0490 0.2937 0.7797
0.9510 0.7063 0.2203
0.4510 0.2937 0.2797
```


three.
A plane-wave DFT calculation with PBE was carried out for crystalline NbNO at its relaxed geometry.

Structure (POSCAR):
```
NbNO
1.0
5.0457 -0.0048 -0.0009
-0.9090 5.1969 0.0027
0.0023 -0.0378 10.2099
O N Nb
8 8 8
direct
0.4389 0.8990 0.8915
0.5603 0.0998 0.6449
0.4382 0.4015 0.8204
0.5611 0.5988 0.5726
0.0578 0.2767 0.1084
0.4400 0.8956 0.3951
0.4383 0.3980 0.3239
0.5673 0.1004 0.1463
0.9488 0.2208 0.3624
0.0564 0.7746 0.6108
0.0554 0.2747 0.6083
0.9432 0.7243 0.3573
0.0628 0.7809 0.1120
0.5573 0.5989 0.0730
0.9429 0.7278 0.8551
0.9450 0.2279 0.8661
0.2116 0.0262 0.2638
0.7948 0.9688 0.5088
0.2152 0.5379 0.9576
0.7812 0.4779 0.2049
0.7877 0.9594 0.0097
0.7922 0.4700 0.7094
0.2015 0.0331 0.7576
0.2021 0.5269 0.4603
```


four.
A plane-wave DFT calculation with PBE was carried out for crystalline NbNO at its relaxed geometry.

Structure (POSCAR):
```
NbNO
1.0
-0.7596 -4.2449 5.3900
2.9484 -4.6076 4.2100
2.1055 3.4146 5.5666
Nb N O
4 4 4
direct
0.8142 0.8142 0.8135
0.1858 0.1858 0.1865
0.8948 0.8948 0.2187
0.1052 0.1052 0.7813
0.2582 0.2582 0.8534
0.7418 0.7418 0.1466
0.0522 0.0522 0.1404
0.9478 0.9478 0.8596
0.1418 0.1418 0.4901
0.8582 0.8582 0.5099
0.3680 0.3680 0.2083
0.6320 0.6320 0.7917
```


Most stable structure: two


one.
A plane-wave DFT calculation with PBE was carried out for crystalline NbS2NO at its relaxed geometry.

Structure (POSCAR):
```
NbS2NO
1.0
-3.8264 -2.9667 0.7389
1.9334 -2.9213 -1.7171
1.8590 -1.3180 4.3353
S Nb N O
2 1 1 1
direct
0.5000 0.0000 0.0000
0.0000 0.0000 0.5000
0.0000 0.0000 0.0000
0.5000 0.5000 0.5000
0.0000 0.5000 0.0000
```


two.
A plane-wave DFT calculation with PBE was carried out for crystalline NbS2NO at its relaxed geometry.

Structure (POSCAR):
```
NbS2NO
1.0
4.0151 0.0000 0.0000
0.0000 4.0151 0.0000
0.0000 0.0000 3.8545
N S O Nb
1 2 1 1
direct
0.0000 0.0000 0.5000
0.5000 0.0000 0.0000
0.0000 0.5000 0.0000
0.0000 0.0000 0.0000
0.5000 0.5000 0.5000
```


Most stable structure: one